A plane-wave DFT calculation with PBE was carried out for ZrAlCrRu after structural relaxation.

The space group is F-43m (No. 216) and the conventional cell measures 6.334, 6.334 and 6.334 Å, with angles of 90.00, 90.00 and 90.00 degrees. The inequivalent atoms are Zr at (0.000, 0.000, 0.000), Al at (0.000, 0.000, 0.500), Cr at (0.250, 0.250, 0.250) and Ru at (0.250, 0.250, 0.750).

Its crystal system is cubic. The formation energy comes out at -0.42 eV per atom.

---

A plane-wave DFT calculation with PBE was carried out for ZrAl2CrRu after structural relaxation.

The space group is P4/mmm (No. 123) and the conventional cell measures 5.160, 5.160 and 4.679 Å, with angles of 90.00, 90.00 and 90.00 degrees. The inequivalent atoms are Zr at (0.000, 0.000, 0.000), Al at (0.000, 0.500, 0.000), Cr at (0.500, 0.500, 0.500) and Ru at (0.000, 0.000, 0.500).

Its crystal system is tetragonal. The formation energy comes out at 1.35 eV per atom.